! Rb2WCF6 | the Alexandria database | PBE+U | relaxed; values from VASP
&SYSTEM
  ibrav = 0, nat = 10, ntyp = 4
/
ATOMIC_SPECIES
F 19.00 F.upf
C 12.01 C.upf
Rb 85.47 Rb.upf
W 183.84 W.upf
ATOMIC_POSITIONS crystal
F 0.7976 0.7976 0.4048
F 0.2570 0.7430 0.0000
F 0.7430 0.2570 0.0000
F 0.2024 0.2024 0.5952
F 0.2570 0.2570 0.0000
F 0.7430 0.7430 0.0000
C 0.5000 0.5000 0.0000
Rb 0.7500 0.2500 0.5000
Rb 0.2500 0.7500 0.5000
W 0.0000 0.0000 0.0000
CELL_PARAMETERS angstrom
-3.9467 -2.5258 -3.4915
-1.8827 -3.2481 4.4780
-6.3609 0.8019 1.7201
! - M_tot (μB per formula unit) = 4.000
! - total DFT energy (no corrections) (eV/atom) = -4.700
! - SG = I4/mmm